No. 1
CeYZnAg (GGA-PBE, optimized geometry); D(E_F) = 2.08 states/eV per atom
1.0
3.592 0.000 0.000
0.000 3.592 0.000
0.000 0.000 7.503
Ce Y Zn Ag
1 1 1 1
direct
0.500 0.500 0.118
0.500 0.500 0.601
0.000 0.000 0.368
0.000 0.000 0.840


No. 2
CeYZnAg (GGA-PBE, optimized geometry); D(E_F) = 2.44 states/eV per atom
1.0
-4.103 -1.866 2.546
-0.082 -4.954 1.500
0.392 -1.190 5.022
Y Zn Ag Ce
1 1 1 1
direct
0.750 0.750 0.750
0.500 0.500 0.500
0.000 0.000 0.000
0.250 0.250 0.250


no.,offset from the most stable computed form (meV per atom),calculated density (g/cm3)
1,0,6.9
2,29,6.8